Er5TmPb6 (PBE-GGA, relaxed); uncorrected energy = -4.524 eV/atom; energy of formation = -0.396 eV per atom; size of the total moment = 0.00 Bohr magnetons per cell
1.0
-1.446 -6.218 5.763
4.162 -1.165 4.262
-1.234 4.468 6.748
Er Tm Pb
5 1 6
direct
0.500 0.167 0.665
0.000 0.334 0.332
0.500 0.500 0.000
0.000 0.666 0.668
0.500 0.833 0.335
0.000 0.000 0.000
0.751 0.082 0.333
0.249 0.585 0.333
0.251 0.247 0.000
0.749 0.753 0.000
0.751 0.415 0.667
0.249 0.918 0.667